{"formula": "YGaOs3", "functional": "meta-GGA SCAN", "state": "single point on PBEsol structure", "delta_e_f_mev_per_atom": 3062, "magnetic_moment_mub_per_cell": 2.7, "cell": [[4.7935, 0.0000, 0.0000], [0.0000, 4.7935, 0.0000], [0.0000, 0.0000, 4.7935]], "species": ["Y", "Ga", "Os", "Os", "Os"], "frac_coords": [[0.0000, 0.0000, 0.0000], [0.5000, 0.5000, 0.5000], [0.0000, 0.0000, 0.5000], [0.0000, 0.5000, 0.0000], [0.5000, 0.0000, 0.0000]]}